No. 1
First-principles (PBE) data for an optimized crystal structure of Pb2Br, as listed in Alexandria.

Lattice parameters (Å, degrees): 5.323 5.323 5.323 60.00 60.00 60.00
Element x y z (fractional)
1 Pb 0.250 0.250 0.250
2 Pb 0.750 0.750 0.750
3 Br 0.000 0.000 0.000

Calculated values
Raw formation energy in eV per atom: 0.216
Symmetry: Fm-3m (225)
Mass density in g cm⁻³: 7.70
M_tot in μB per formula unit: 0.0
Fermi-level density of states in states/eV/f.u.: 2.13

No. 2
First-principles (PBE) data for an optimized crystal structure of HoThRuRh, as listed in Alexandria.

Lattice parameters (Å, degrees): 4.933 4.933 4.933 60.00 60.00 60.00
Element x y z (fractional)
1 Ho 0.000 0.000 0.000
2 Th 0.500 0.500 0.500
3 Ru 0.750 0.750 0.750
4 Rh 0.250 0.250 0.250

Calculated values
Symmetry: F-43m (216)
Mass density in g cm⁻³: 11.76
ΔE_f in meV per atom: -631
M_tot in μB per formula unit: 0.0
Fermi-level density of states in states/eV/f.u.: 2.53